[1]
This record from Alexandria describes crystalline RbNb2AlCu at its relaxed geometry. The functional is GGA-PBE.

Cell lengths 4.990, 4.990, 4.660 Å; angles 90.00, 90.00, 90.00 degrees
Last column: magnetic moment on the atom in μB.
Element x y z (fractional)
1 Nb 0.500 0.000 0.000  0.63
2 Nb 0.000 0.500 0.000  0.63
3 Rb 0.500 0.500 0.500  0.04
4 Cu 0.000 0.000 0.000  0.00
5 Al 0.000 0.000 0.500  -0.02

Properties
uncorrected energy	-4.50	eV per atom
DFT formation energy	1.29	eV/atom
DOS(E_F)	6.44	states/eV/f.u.
total magnetization	1.6	μB per formula unit
space-group type	P4/mmm, No. 123

***

[2]
This record from Alexandria describes crystalline NbAlCuRe at its relaxed geometry. The functional is GGA-PBE.

Cell lengths 4.409, 4.409, 4.409 Å; angles 60.00, 60.00, 60.00 degrees
Element x y z (fractional)
1 Cu 0.000 0.000 0.000
2 Al 0.250 0.250 0.250
3 Re 0.500 0.500 0.500
4 Nb 0.750 0.750 0.750

Properties
uncorrected energy	-7.69	eV per atom
DFT formation energy	-0.11	eV/atom
DOS(E_F)	0.97	states/eV/f.u.
total magnetization	0.0	μB per formula unit
space-group type	F-43m, No. 216

***

[3]
This record from Alexandria describes crystalline NbAlCuRh at its relaxed geometry. The functional is GGA-PBE.

Cell lengths 4.380, 4.380, 4.380 Å; angles 60.00, 60.00, 60.00 degrees
Element x y z (fractional)
1 Cu 0.250 0.250 0.250
2 Nb 0.000 0.000 0.000
3 Al 0.500 0.500 0.500
4 Rh 0.750 0.750 0.750

Properties
uncorrected energy	-6.76	eV per atom
DFT formation energy	-0.44	eV/atom
DOS(E_F)	1.69	states/eV/f.u.
total magnetization	0.0	μB per formula unit
space-group type	F-43m, No. 216